VASP calculation (GGA-PBE) on a geometry-optimized Pr4SnSbO structure.

CIF file:
```
data_Pr4SnSbO
_cell_length_a 6.630
_cell_length_b 6.701
_cell_length_c 9.557
_cell_angle_alpha 90.00
_cell_angle_beta 110.29
_cell_angle_gamma 90.00
_space_group_name_H-M_alt 'P 1'
_space_group_IT_number 1
loop_
_space_group_symop_operation_xyz
'x,y,z'
loop_
_atom_site_label
_atom_site_fract_x
_atom_site_fract_y
_atom_site_fract_z
Pr1 0.923 0.250 0.847
Pr2 0.569 0.250 0.139
Pr3 0.500 0.000 0.500
Pr4 0.000 0.500 0.500
Pr5 0.431 0.750 0.861
Pr6 0.000 0.000 0.500
Pr7 0.500 0.500 0.500
Pr8 0.077 0.750 0.153
O1 0.211 0.750 0.422
O2 0.789 0.250 0.578
Sb1 0.612 0.750 0.225
Sb2 0.388 0.250 0.775
Sn1 0.110 0.250 0.221
Sn2 0.890 0.750 0.779
```

Output
For the total energy, the calculation gives -5.9532 eV/atom.